LiMgW2 | GGA-PBE | relaxed

Cell lengths 3.118, 4.293, 9.670 Å; angles 90.00, 90.00, 90.00 degrees
Space group Immm (No. 71)
Symmetry-distinct sites (fractional):
Li1 0.000 0.000 0.000 x2
Mg1 0.000 0.000 0.500 x2
W1 0.000 0.500 0.259 x4

## Properties
The calculated formation energy comes out at 0.442 eV per atom. The total energy is -6.912 eV per atom.